6
Lattice="0.000 3.715 3.715 3.715 0.000 3.715 3.715 3.715 0.000" Properties=species:S:1:pos:R:3 comment="CoMo4Br, relaxed, DFT GGA-PBE" magnetic_moment_mub_per_cell=1.488 sg="No. 216" e_form_raw_mev_per_atom=1009 pbc="T T T"
Co 0.000 0.000 0.000
Mo 4.646 2.783 2.783
Mo 2.783 4.646 2.783
Mo 2.783 2.783 4.646
Mo 4.646 4.646 4.646
Br 1.857 1.857 1.857

4
Lattice="3.519 -2.029 0.000 3.519 2.029 0.000 -0.023 0.000 6.580" Properties=species:S:1:pos:R:3 comment="SbPt2Cl, relaxed, DFT GGA-PBE" magnetic_moment_mub_per_cell=0.000 relative_energy_ev_per_atom=0.000 sg="No. 8" e_form_raw_mev_per_atom=-172 pbc="T T T"
Sb 0.000 0.000 0.000
Pt 2.350 0.000 2.351
Pt 4.692 0.000 0.978
Cl 0.012 0.000 3.695

6
Lattice="3.576 0.000 0.000 0.000 3.576 0.000 0.000 0.000 13.971" Properties=species:S:1:pos:R:3 comment="LaTm4Cd, relaxed, DFT GGA-PBE" ef_ev_per_fu=-0.46 magnetic_moment_mub_per_cell=0.093 relative_energy_ev_per_atom=0.000 sg="No. 123" pbc="T T T"
La 0.000 0.000 0.000
Tm 0.000 0.000 4.968
Tm 0.000 0.000 9.002
Tm 1.788 1.788 2.551
Tm 1.788 1.788 11.420
Cd 1.788 1.788 6.985

11
Lattice="4.912 0.000 0.000 -2.456 4.254 0.000 0.000 0.000 16.285" Properties=species:S:1:pos:R:3 comment="Ba3Ag2Pb2Au4, relaxed, DFT GGA-PBE" ef_ev_per_fu=-4.92 magnetic_moment_mub_per_cell=0.000 sg="No. 164" pbc="T T T"
Ba 0.000 0.000 0.000
Ba 0.000 0.000 4.260
Ba 0.000 0.000 12.025
Ag 0.000 2.836 2.136
Ag 2.456 1.418 14.149
Pb 0.000 2.836 9.315
Pb 2.456 1.418 6.970
Au 0.000 2.836 6.325
Au 0.000 2.836 14.164
Au 2.456 1.418 2.121
Au 2.456 1.418 9.960

8
Lattice="-3.077 3.077 3.632 3.077 -3.077 3.632 3.077 3.077 -3.632" Properties=species:S:1:pos:R:3 comment="Hf2TiGa5, relaxed, DFT GGA-PBE" ef_ev_per_fu=-3.00 magnetic_moment_mub_per_cell=0.000 sg="No. 107" pbc="T T T"
Hf 3.077 0.000 0.000
Hf 0.000 3.077 0.000
Ti 0.000 0.000 3.099
Ga 0.000 0.000 0.247
Ga 1.746 1.746 1.808
Ga 1.331 -1.331 5.440
Ga -1.331 1.331 5.440
Ga 1.331 1.331 5.440